Record 1
# KP3Ru

An optimized crystal structure of KP3Ru (GGA-PBE, Alexandria via LeMat-Bulk).

The magnetic moment comes out at 0.0 μB per formula unit. The calculation puts the total energy at -4.98 eV per atom. The calculation puts the density of states at the Fermi level at 6.2 states/eV/f.u.

It has space group Pm-3m (No. 221), with a = 4.729 Å, b = 4.729 Å, c = 4.729 Å, α = 90.00°, β = 90.00° and γ = 90.00°. Symmetry generates all atoms from K at (0.000, 0.000, 0.000), P at (0.000, 0.500, 0.500) and Ru at (0.500, 0.500, 0.500).

Record 2
# HoHfBe2

An optimized crystal structure of HoHfBe2 (GGA-PBE, Alexandria via LeMat-Bulk).

The magnetic moment comes out at 0.0 μB per formula unit. The calculation puts the total energy at -5.49 eV per atom. The calculation puts the density of states at the Fermi level at 1.7 states/eV/f.u.

It has space group P4/mmm (No. 123), with a = 3.254 Å, b = 3.254 Å, c = 6.482 Å, α = 90.00°, β = 90.00° and γ = 90.00°. Symmetry generates all atoms from Ho at (0.000, 0.000, 0.000), Hf at (0.000, 0.000, 0.500) and Be at (0.500, 0.500, 0.287).

Record 3
# Tb2Pd2Pb

An optimized crystal structure of Tb2Pd2Pb (GGA-PBE, Alexandria via LeMat-Bulk).

The magnetic moment comes out at 0.0 μB per formula unit. The calculation puts the total energy at -5.51 eV per atom. The calculation puts the density of states at the Fermi level at 2.4 states/eV/f.u.

It has space group P4/mbm (No. 127), with a = 7.894 Å, b = 7.894 Å, c = 3.682 Å, α = 90.00°, β = 90.00° and γ = 90.00°. Symmetry generates all atoms from Tb at (0.172, 0.328, 0.000), Pd at (0.125, 0.625, 0.500) and Pb at (0.000, 0.000, 0.500).

Record 4
# LaTaP2O

An optimized crystal structure of LaTaP2O (GGA-PBE, Alexandria via LeMat-Bulk).

The magnetic moment comes out at 0.0 μB per formula unit. The calculation puts the density of states at the Fermi level at 1.4 states/eV/f.u. As for the formation energy without anion corrections: -7.3 eV per formula unit.

It has space group P4/mmm (No. 123), with a = 4.973 Å, b = 4.973 Å, c = 3.942 Å, α = 90.00°, β = 90.00° and γ = 90.00°. Symmetry generates all atoms from La at (0.000, 0.000, 0.000), Ta at (0.500, 0.500, 0.500), P at (0.000, 0.500, 0.500) and O at (0.500, 0.500, 0.000).

Record 5
# CsSi3Ru

An optimized crystal structure of CsSi3Ru (GGA-PBE, Alexandria via LeMat-Bulk).

The magnetic moment comes out at 2.3 μB per formula unit. The calculation puts the density of states at the Fermi level at 4.6 states/eV/f.u. As for the formation energy without anion corrections: 14.7 eV per formula unit.

It has space group Pm-3m (No. 221), with a = 5.328 Å, b = 5.328 Å, c = 5.328 Å, α = 90.00°, β = 90.00° and γ = 90.00°. Symmetry generates all atoms from Cs at (0.000, 0.000, 0.000), Si at (0.000, 0.000, 0.500) and Ru at (0.500, 0.500, 0.500).

Record 6
# CaMgScIn2

An optimized crystal structure of CaMgScIn2 (GGA-PBE, Alexandria via LeMat-Bulk).

The magnetic moment comes out at 0.0 μB per formula unit. The calculation puts the total energy at -2.65 eV per atom. The calculation puts the density of states at the Fermi level at 7.0 states/eV/f.u.

It has space group P4/mmm (No. 123), with a = 5.284 Å, b = 5.284 Å, c = 5.459 Å, α = 90.00°, β = 90.00° and γ = 90.00°. Symmetry generates all atoms from Ca at (0.000, 0.000, 0.000), Mg at (0.000, 0.000, 0.500), Sc at (0.500, 0.500, 0.000) and In at (0.000, 0.500, 0.500).

Record 7
# Mg15Fe

An optimized crystal structure of Mg15Fe (GGA-PBE, Alexandria via LeMat-Bulk).

The magnetic moment comes out at 2.2 μB per formula unit. The calculation puts the total energy at -1.96 eV per atom. The calculation puts the density of states at the Fermi level at 7.4 states/eV/f.u.

It has space group P-6m2 (No. 187), with a = 6.2572 Å, b = 6.2572 Å, c = 10.2161 Å, α = 90.00°, β = 90.00° and γ = 120.00°. Symmetry generates all atoms from Mg at (0.0000, 0.0000, 0.0000), Mg at (0.0042, 0.5021, 0.0000), Mg at (0.1620, 0.3239, 0.2623), Mg at (0.5022, 0.0044, 0.5000), Mg at (0.6667, 0.3333, 0.2465) and Fe at (0.0000, 0.0000, 0.5000).

Record 8
# BaCd4Pd

An optimized crystal structure of BaCd4Pd (GGA-PBE, Alexandria via LeMat-Bulk).

The magnetic moment comes out at 0.0 μB per formula unit. The calculation puts the total energy at -2.14 eV per atom. The calculation puts the density of states at the Fermi level at 2.3 states/eV/f.u.

It has space group Pmma (No. 51), with a = 9.065 Å, b = 4.407 Å, c = 7.782 Å, α = 90.00°, β = 90.00° and γ = 90.00°. Symmetry generates all atoms from Ba at (0.250, 0.000, 0.097), Cd at (0.000, 0.000, 0.500), Cd at (0.056, 0.500, 0.792), Cd at (0.250, 0.500, 0.454) and Pd at (0.250, 0.000, 0.696).